[1]
An optimized crystal structure of YHgPd3. Source: Alexandria, functional GGA-PBE.

a b c (Å): 4.9924 4.9924 4.9924
angles (deg): 90.00 90.00 90.00
Element x y z (fractional)
Y 0.0000 0.0000 0.0000
Hg 0.5000 0.5000 0.5000
Pd 0.0000 0.5000 0.5000
Pd 0.5000 0.0000 0.5000
Pd 0.5000 0.5000 0.0000

## Properties
total DFT energy (no corrections): -4.2022 eV/atom
distance to the lowest polymorph of the same formula: 3.09 eV per formula unit
calculated density: 8.1 Mg/m³
ΔH_f (0 K): 0.267 eV per atom

[2]
An optimized crystal structure of Ce4Ga12Rh. Source: Alexandria, functional GGA-PBE.

a b c (Å): 7.5481 7.5481 7.5481
angles (deg): 109.47 109.47 109.47
Element x y z (fractional)
Ce 0.0000 0.0000 0.5000
Ce 0.0000 0.5000 0.0000
Ce 0.5000 0.0000 0.0000
Ce 0.5000 0.5000 0.5000
Ga 0.0000 0.2934 0.2934
Ga 0.0000 0.7066 0.7066
Ga 0.2500 0.5000 0.7500
Ga 0.2500 0.7500 0.5000
Ga 0.2934 0.0000 0.2934
Ga 0.2934 0.2934 0.0000
Ga 0.5000 0.2500 0.7500
Ga 0.5000 0.7500 0.2500
Ga 0.7066 0.0000 0.7066
Ga 0.7066 0.7066 0.0000
Ga 0.7500 0.2500 0.5000
Ga 0.7500 0.5000 0.2500
Rh 0.0000 0.0000 0.0000

## Properties
total DFT energy (no corrections): -4.5852 eV/atom
calculated density: 7.5 Mg/m³
ΔH_f (0 K): -0.620 eV per atom

[3]
An optimized crystal structure of PaB2Os. Source: Alexandria, functional GGA-PBE.

a b c (Å): 5.7931 3.8151 9.5925
angles (deg): 90.00 90.00 90.00
Element x y z (fractional)
Pa 0.1307 0.2500 0.1304
Pa 0.3693 0.7500 0.6304
Pa 0.6307 0.2500 0.3696
Pa 0.8693 0.7500 0.8696
B 0.0159 0.2500 0.6679
B 0.2063 0.2500 0.8242
B 0.2937 0.7500 0.3242
B 0.4841 0.7500 0.1679
B 0.5159 0.2500 0.8321
B 0.7063 0.2500 0.6758
B 0.7937 0.7500 0.1758
B 0.9841 0.7500 0.3321
Os 0.1289 0.2500 0.4259
Os 0.3711 0.7500 0.9259
Os 0.6289 0.2500 0.0741
Os 0.8711 0.7500 0.5741

## Properties
total DFT energy (no corrections): -9.0154 eV/atom
distance to the lowest polymorph of the same formula: 0.00 eV per formula unit
calculated density: 13.9 Mg/m³
ΔH_f (0 K): -0.495 eV per atom